[1]
Computed, not measured: a relaxed BeCd3Se crystal at the PBE level of DFT.

The energy above the lowest structure with this stoichiometry is 0.000 eV/atom. Its symmetry is No. 221. The formation energy without anion corrections is 1.47 eV per formula unit.

```
BeCd3Se
1.0
4.817 0.000 0.000
0.000 4.817 0.000
0.000 0.000 4.817
Be Cd Se
1 3 1
Cartesian
0.000 0.000 0.000
0.000 0.000 2.408
0.000 2.408 0.000
2.408 0.000 0.000
2.408 2.408 2.408
```

***

[2]
Computed, not measured: a relaxed CdH2F crystal at the PBE level of DFT.

The energy above the lowest structure with this stoichiometry is 0.000 eV/atom. Its symmetry is No. 11.

```
CdH2F
1.0
5.434 0.000 0.000
0.000 3.518 0.000
-1.990 0.000 5.734
Cd H F
2 4 2
Cartesian
1.116 0.879 0.193
2.328 2.638 5.541
0.060 2.263 2.969
0.060 3.014 2.969
3.385 0.504 2.765
3.385 1.255 2.765
1.059 0.879 4.681
2.385 2.638 1.053
```

***

[3]
Computed, not measured: a relaxed RbTlN3 crystal at the PBE level of DFT.

Its symmetry is No. 221. The formation energy without anion corrections is 13.04 eV per formula unit.

```
RbTlN3
1.0
5.088 0.000 0.000
0.000 5.088 0.000
0.000 0.000 5.088
Rb Tl N
1 1 3
Cartesian
0.000 0.000 0.000
2.544 2.544 2.544
0.000 0.000 2.544
0.000 2.544 0.000
2.544 0.000 0.000
```

***

[4]
Computed, not measured: a relaxed Cd6GaHg8 crystal at the PBE level of DFT.

As for the energy of formation: 0.040 eV per atom. Its symmetry is No. 147.

```
Cd6GaHg8
1.0
8.903 0.000 0.000
-4.452 7.710 0.000
0.000 0.000 5.426
Cd Ga Hg
6 1 8
Cartesian
-1.863 4.874 1.538
1.162 3.660 1.538
3.751 0.823 3.888
0.701 6.887 1.538
3.289 4.051 3.888
6.315 2.836 3.888
0.000 0.000 2.713
-3.075 5.859 4.307
0.915 2.118 4.307
2.292 0.267 1.119
0.000 5.140 4.216
4.452 2.570 1.210
2.160 7.444 4.307
3.537 5.592 1.119
7.526 1.851 1.119
```

***

[5]
Computed, not measured: a relaxed Pm2PrTm2 crystal at the PBE level of DFT.

As for the energy of formation: 0.028 eV per atom. The energy above the lowest structure with this stoichiometry is 0.000 eV/atom. Its symmetry is No. 12.

```
Pm2PrTm2
1.0
3.122 -1.802 0.000
3.122 1.802 0.000
-0.013 0.000 14.639
Pm Pr Tm
2 1 2
Cartesian
1.044 0.000 5.795
5.188 0.000 8.844
3.122 0.000 0.000
1.027 0.000 11.714
5.204 0.000 2.925
```

***

[6]
Computed, not measured: a relaxed Ac2TmHg8 crystal at the PBE level of DFT.

As for the energy of formation: -0.354 eV per atom. Its symmetry is No. 12.

```
Ac2TmHg8
1.0
8.099 -2.656 0.000
8.099 2.656 0.000
-2.676 0.000 6.961
Ac Tm Hg
2 1 8
Cartesian
2.897 0.000 1.127
10.624 0.000 5.834
6.760 0.000 3.480
-0.489 0.000 1.654
0.773 0.000 4.487
3.911 0.000 4.326
6.511 0.000 0.444
7.010 0.000 6.517
9.610 0.000 2.635
12.747 0.000 2.474
14.010 0.000 5.307
```

***

[7]
Computed, not measured: a relaxed Pm2SmDy6Mg crystal at the PBE level of DFT.

As for the energy of formation: 0.107 eV per atom. Its symmetry is No. 15.

```
Pm2SmDy6Mg
1.0
4.975 -9.793 0.000
4.975 9.793 0.000
-1.071 0.000 6.558
Pm Sm Dy Mg
4 2 12 2
Cartesian
1.777 1.611 3.270
1.242 -1.611 6.549
7.638 1.611 0.009
7.103 -1.611 3.288
4.708 0.148 1.640
4.172 -0.148 4.919
0.092 1.729 6.443
2.932 5.107 1.824
0.627 -1.729 3.164
3.346 2.879 6.365
4.999 2.879 3.472
6.483 5.107 1.455
2.397 -5.107 5.104
3.881 -2.879 3.086
5.534 -2.879 0.193
8.253 1.729 3.395
5.948 -5.107 4.734
8.788 -1.729 0.115
4.172 5.733 4.919
4.708 -5.733 1.640
```

***

[8]
Computed, not measured: a relaxed NaLiMnBr4 crystal at the PBE level of DFT.

Its symmetry is No. 74. The formation energy without anion corrections is -8.35 eV per formula unit.

```
NaLiMnBr4
1.0
-4.066 4.126 5.777
4.066 -4.126 5.777
4.066 4.126 -5.777
Na Li Mn Br
2 2 2 8
Cartesian
-2.033 2.063 2.889
2.033 2.063 2.889
0.000 0.000 0.000
0.000 4.126 0.000
4.066 2.063 -1.479
0.000 2.063 7.256
4.066 4.081 -2.998
1.966 2.063 -0.060
2.100 -2.063 5.717
4.066 -0.046 2.998
0.000 4.172 2.780
1.966 6.189 0.060
2.100 2.063 5.837
0.000 0.046 8.775
```

***

Table of D(E_F) (states/eV per atom), in record order: 0.91, 0.22, 0.64, 0.26, 1.44, 0.51, 1.48, 0.00
Table of magnetization (μB per atom), in record order: 0.00, 0.00, 1.40, 0.00, 0.00, 0.00, 0.00, 0.71